[1]
Below is a relaxed structure of Ti2MnC, with properties calculated at the PBE level.

DFT formation energy = -0.33 eV/atom
DFT total energy = -8.88 eV per atom

Cell: 2.985 2.985 20.479 Å, 90.00 90.00 120.00°
Sites, in units of the cell vectors:
Ti 0.000 0.000 0.226
Ti 0.000 0.000 0.774
Ti 0.333 0.667 0.441
Ti 0.333 0.667 0.893
Ti 0.667 0.333 0.107
Ti 0.667 0.333 0.559
Mn 0.000 0.000 0.000
Mn 0.333 0.667 0.667
Mn 0.667 0.333 0.333
C 0.000 0.000 0.500
C 0.333 0.667 0.167
C 0.667 0.333 0.833

=====

[2]
Below is a relaxed structure of LaYTl2V, with properties calculated at the PBE level.

DFT formation energy = 1.37 eV/atom
DFT total energy = -3.68 eV per atom

Cell: 5.740 5.740 5.751 Å, 90.00 90.00 90.00°
Sites, in units of the cell vectors:
La 0.000 0.000 0.000
Y 0.000 0.000 0.500
Tl 0.000 0.500 0.500
Tl 0.500 0.000 0.500
V 0.500 0.500 0.000

=====

[3]
Below is a relaxed structure of TiCdAg, with properties calculated at the PBE level.

DFT formation energy = 0.28 eV/atom
DFT total energy = -3.61 eV per atom
E above lowest polymorph = 321 meV per atom

Cell: 6.359 6.359 6.359 Å, 45.40 45.40 45.40°
Sites, in units of the cell vectors:
Ti 0.235 0.235 0.235
Ti 0.765 0.765 0.765
Cd 0.410 0.410 0.410
Cd 0.590 0.590 0.590
Ag 0.080 0.080 0.080
Ag 0.920 0.920 0.920